Density functional theory data (PBE) for BaSi2N2 after structural relaxation.

space-group type	No. 139
electronic total energy	-5.777	eV/atom
total moment	0.00	μB/f.u.
uncorrected formation energy	0.1065	eV/atom

```
BaSi2N2
1.0
-3.520 -0.971 -1.364
-0.057 -3.104 2.358
-4.207 1.069 4.527
N Si Ba
2 2 1
Direct
0.255 0.255 0.490
0.745 0.745 0.510
0.250 0.750 0.500
0.750 0.250 0.500
0.000 0.000 0.000
```